VASP calculation (PBEsol) on a relaxed structure of K2ReP.

Cell: 3.210 3.210 10.073 Å, 90.00 90.00 90.00°
Sites, in units of the cell vectors:
K 0.000 0.000 0.914
K 0.500 0.500 0.342
P 0.000 0.000 0.581
Re 0.500 0.500 0.662

- energy of formation (eV/atom) = 0.286
- electronic total energy (eV/atom) = -5.0612
- size of the total moment (μB/atom) = 0.0001
- energy above the most stable polymorph in this dataset (eV/atom) = 0.000
- SG = P4mm, No. 99